La2MgCl | PBE | optimized geometry

Lattice parameters (Å, degrees): 5.523 5.523 5.523 60.00 60.00 60.00
Element x y z (fractional)
Mg (0.000, 0.000, 0.000)
Cl (0.500, 0.500, 0.500)
La (0.250, 0.250, 0.250)
La (0.750, 0.750, 0.750)

## Properties
- crystal system = cubic
- space-group type = Fm-3m (225)
- total energy (eV per atom) = -3.7522


La2MgCl | PBE | optimized geometry

Lattice parameters (Å, degrees): 7.381 7.381 5.094 69.62 69.62 27.83
Element x y z (fractional)
Cl (0.731, 0.731, 0.770)
La (0.043, 0.043, 0.956)
La (0.269, 0.269, 0.232)
Mg (0.458, 0.458, 0.542)

## Properties
- crystal system = monoclinic
- space-group type = Cm (8)
- total energy (eV per atom) = -3.9000


LaMg2Cl | PBE | optimized geometry

Lattice parameters (Å, degrees): 6.243 6.243 3.545 90.00 90.00 124.03
Element x y z (fractional)
Cl (0.500, 0.000, 0.500)
La (0.000, 0.500, 0.500)
Mg (0.000, 0.000, 0.000)
Mg (0.500, 0.500, 0.000)

## Properties
- crystal system = orthorhombic
- space-group type = Cmmm (65)
- total energy (eV per atom) = -2.9566


LaMg2Cl | PBE | optimized geometry

Lattice parameters (Å, degrees): 3.447 3.447 9.789 90.00 90.00 114.48
Element x y z (fractional)
Cl (0.500, 0.500, 0.250)
La (0.500, 0.500, 0.750)
Mg (0.000, 0.000, 0.040)
Mg (0.000, 0.000, 0.460)

## Properties
- crystal system = orthorhombic
- space-group type = Cmmm (65)
- total energy (eV per atom) = -2.9989


The lowest total energy belongs to which entry? number 2